MnBiNO2: relaxed, GGA+U.

a b c (Å): 3.827 3.827 4.050
angles (deg): 90.00 90.00 90.00
Space group P4/mmm (No. 123)
Symmetry-distinct sites (fractional):
Mn1 0.000 0.000 0.000 [1 per cell]
Bi1 0.500 0.500 0.500 [1 per cell]
N1 0.000 0.000 0.500 [1 per cell]
O1 0.000 0.500 0.000 [2 per cell]

V: 11.86 Å³ per atom
Energy: -6.372 eV per atom